# 1
Computed, not measured: a geometry-optimized La3Zn3Cu8 structure at the PBE level of DFT.

abc: 4.334 8.941 12.926
angles: 90.00 90.00 90.00
Space group Immm (No. 71)
Unique sites:
La (0.000, 0.000, 0.000)
La (0.000, 0.000, 0.297)
Zn (0.000, 0.205, 0.500)
Zn (0.000, 0.500, 0.000)
Cu (0.000, 0.283, 0.127)
Cu (0.000, 0.354, 0.333)

Formation enthalpy at 0 K ... -209 meV per atom
Crystal system ... orthorhombic

# 2
Computed, not measured: a geometry-optimized La2Zn6Cu3 structure at the PBE level of DFT.

abc: 7.6825 7.6825 4.0562
angles: 90.00 90.00 120.00
Space group P-62m (No. 189)
Unique sites:
La (0.3333, 0.6667, 0.0000)
Zn (0.0000, 0.2835, 0.5000)
Zn (0.0000, 0.8071, 0.0000)
Cu (0.0000, 0.6177, 0.5000)

Formation enthalpy at 0 K ... -211 meV per atom
Crystal system ... hexagonal

# 3
Computed, not measured: a geometry-optimized La5ZnCu4 structure at the PBE level of DFT.

abc: 3.670 3.670 18.499
angles: 90.00 90.00 90.00
Space group P4/mmm (No. 123)
Unique sites:
La (0.000, 0.000, 0.000)
La (0.000, 0.000, 0.198)
La (0.000, 0.000, 0.395)
Zn (0.500, 0.500, 0.500)
Cu (0.500, 0.500, 0.098)
Cu (0.500, 0.500, 0.297)

Formation enthalpy at 0 K ... -168 meV per atom
Crystal system ... tetragonal

# 4
Computed, not measured: a geometry-optimized La2Zn7Cu structure at the PBE level of DFT.

abc: 4.406 4.406 10.098
angles: 90.00 90.00 90.00
Space group P-4m2 (No. 115)
Unique sites:
La (0.000, 0.500, 0.245)
Zn (0.000, 0.000, 0.000)
Zn (0.000, 0.000, 0.500)
Zn (0.000, 0.500, 0.632)
Zn (0.000, 0.500, 0.877)
Zn (0.500, 0.500, 0.500)
Cu (0.500, 0.500, 0.000)

Formation enthalpy at 0 K ... -292 meV per atom
Crystal system ... tetragonal

# 5
Computed, not measured: a geometry-optimized La2Zn2Cu3 structure at the PBE level of DFT.

abc: 10.598 4.356 6.779
angles: 90.00 115.49 90.00
Space group C2/m (No. 12)
Unique sites:
La (0.162, 0.000, 0.247)
Zn (0.120, 0.000, 0.715)
Cu (0.000, 0.500, 0.500)
Cu (0.079, 0.500, 0.900)

Formation enthalpy at 0 K ... -219 meV per atom
Crystal system ... monoclinic

# 6
Computed, not measured: a geometry-optimized La3Zn8Cu3 structure at the PBE level of DFT.

abc: 4.495 9.025 13.130
angles: 90.00 90.00 90.00
Space group Immm (No. 71)
Unique sites:
La (0.000, 0.000, 0.000)
La (0.000, 0.000, 0.300)
Zn (0.000, 0.291, 0.125)
Zn (0.000, 0.355, 0.340)
Cu (0.000, 0.190, 0.500)
Cu (0.000, 0.500, 0.000)

Formation enthalpy at 0 K ... -276 meV per atom
Crystal system ... orthorhombic

Computed total energy, in the same sequence as the records: -3.878 -2.919 -4.398 -2.579 -3.746 -2.938 eV/atom.